CeSm3Tm2Te6 after structural relaxation, computed with PBE-GGA.

Unit cell a=9.8499 b=9.8499 c=8.8890 alpha=102.92 beta=102.92 gamma=25.61
Closest atoms and distances in Å follow each position.
Sites, in units of the cell vectors:
1 Ce 0.0000 0.0000 0.0000  6 Te 3.13-3.19
2 Sm 0.0000 0.0000 0.5000  6 Te 3.10-3.19
3 Sm 0.3390 0.3390 0.1667  6 Te 3.10-3.19
4 Sm 0.6610 0.6610 0.8333  6 Te 3.10-3.19
5 Tm 0.3353 0.3353 0.6705  6 Te 2.99-3.08
6 Tm 0.6647 0.6647 0.3295  6 Te 2.99-3.08
7 Te 0.1704 0.1704 0.0936  2 Tm 3.05, 3 Sm 3.15-3.16, 1 Ce 3.19
8 Te 0.1707 0.1707 0.5767  3 Tm 3.08, 3 Sm 3.19
9 Te 0.4953 0.4953 0.7449  1 Tm 2.99, 3 Sm 3.10, 2 Ce 3.13
10 Te 0.5047 0.5047 0.2551  1 Tm 2.99, 3 Sm 3.10, 2 Ce 3.13
11 Te 0.8293 0.8293 0.4233  3 Tm 3.08, 3 Sm 3.19
12 Te 0.8296 0.8296 0.9064  2 Tm 3.05, 3 Sm 3.15-3.16, 1 Ce 3.19

Computed properties:
Final energy   -5.3056 eV per atom
N(E_F)   12.324 states/eV per cell
Space group   No. 12